Material: Y2AlCu
Method: DFT, PBE-GGA
State: optimized geometry

Geometry as POSCAR:
```
Y2AlCu
1.0
4.457 -1.859 0.000
4.457 1.859 0.000
-1.728 0.000 6.015
Y Al Cu
2 1 1
Direct
0.239 0.239 0.239
0.761 0.761 0.761
0.000 0.000 0.500
0.500 0.500 0.000
```

Properties
VASP energy in eV per atom: -5.233
Energy relative to the elements in kJ/mol of formula units: -15.7
SG: No. 12

***

Material: CuReSb2
Method: DFT, PBE-GGA
State: optimized geometry

Geometry as POSCAR:
```
CuReSb2
1.0
-3.050 3.050 5.743
3.050 -3.050 5.743
3.050 3.050 -5.743
Cu Re Sb
2 2 4
Direct
0.000 0.000 0.000
0.750 0.250 0.500
0.250 0.750 0.500
0.500 0.500 0.000
0.127 0.625 0.002
0.375 0.377 0.502
0.623 0.125 0.998
0.875 0.873 0.498
```

Properties
Raw formation energy in eV per formula unit: 2.98
VASP energy in eV per atom: -5.453
Relative energy among the computed polymorphs in meV/atom: 422.2
SG: No. 122

***

Material: CsZn3Pd
Method: DFT, PBE-GGA
State: optimized geometry

Geometry as POSCAR:
```
CsZn3Pd
1.0
5.081 0.000 0.000
0.000 5.081 0.000
0.000 0.000 5.081
Cs Zn Pd
1 3 1
Direct
0.000 0.000 0.000
0.000 0.500 0.500
0.500 0.000 0.500
0.500 0.500 0.000
0.500 0.500 0.500
```

Properties
VASP energy in eV per atom: -2.092
Relative energy among the computed polymorphs in meV/atom: 0.0
Energy relative to the elements in kJ/mol of formula units: -57.2
SG: No. 221

***

Material: KNaTcC2
Method: DFT, PBE-GGA
State: optimized geometry

Geometry as POSCAR:
```
KNaTcC2
1.0
4.527 0.000 0.000
0.000 4.527 0.000
0.000 0.000 4.776
K Na Tc C
1 1 1 2
Direct
0.000 0.000 0.000
0.500 0.500 0.500
0.500 0.500 0.000
0.000 0.500 0.500
0.500 0.000 0.500
```

Properties
VASP energy in eV per atom: -2.927
Energy relative to the elements in kJ/mol of formula units: 1601.3
SG: No. 123

***

Material: Li3Np2CoN6
Method: DFT, PBE-GGA
State: optimized geometry

Geometry as POSCAR:
```
Li3Np2CoN6
1.0
2.674 -5.082 0.000
2.674 5.082 0.000
-1.332 0.000 5.038
Li Np Co N
3 2 1 6
Direct
0.000 0.000 0.000
0.362 0.638 0.000
0.638 0.362 0.000
0.163 0.837 0.500
0.837 0.163 0.500
0.500 0.500 0.500
0.086 0.420 0.281
0.230 0.230 0.712
0.420 0.086 0.281
0.580 0.914 0.719
0.770 0.770 0.288
0.914 0.580 0.719
```

Properties
Raw formation energy in eV per formula unit: -7.23
VASP energy in eV per atom: -7.993
SG: No. 12

***

Material: Pr3Cd2In7
Method: DFT, PBE-GGA
State: optimized geometry

Geometry as POSCAR:
```
Pr3Cd2In7
1.0
2.411 -14.768 0.000
2.411 14.768 0.000
0.000 0.000 4.830
Pr Cd In
3 2 7
Direct
0.000 0.000 0.000
0.155 0.845 0.000
0.845 0.155 0.000
0.346 0.654 0.500
0.654 0.346 0.500
0.079 0.921 0.500
0.227 0.773 0.500
0.420 0.580 0.000
0.500 0.500 0.500
0.580 0.420 0.000
0.773 0.227 0.500
0.921 0.079 0.500
```

Properties
VASP energy in eV per atom: -3.213
Energy relative to the elements in kJ/mol of formula units: -310.1
SG: No. 65

***

Material: SmEuIr
Method: DFT, PBE-GGA
State: optimized geometry

Geometry as POSCAR:
```
SmEuIr
1.0
4.171 0.000 0.000
-2.085 3.612 0.000
0.000 0.000 6.378
Sm Eu Ir
1 1 1
Direct
0.000 0.000 0.000
0.333 0.667 0.527
0.667 0.333 0.781
```

Properties
VASP energy in eV per atom: -8.351
Relative energy among the computed polymorphs in meV/atom: 76.3
Energy relative to the elements in kJ/mol of formula units: -115.6
SG: No. 156

***

Material: Ac2Pm12Nd5
Method: DFT, PBE-GGA
State: optimized geometry

Geometry as POSCAR:
```
Ac2Pm12Nd5
1.0
9.250 -5.965 0.000
9.250 5.965 0.000
-1.489 0.000 6.176
Ac Pm Nd
2 12 5
Direct
0.223 0.777 0.000
0.777 0.223 0.000
0.051 0.543 0.796
0.130 0.130 0.986
0.147 0.645 0.394
0.355 0.853 0.606
0.442 0.442 0.716
0.457 0.949 0.204
0.543 0.051 0.796
0.558 0.558 0.284
0.645 0.147 0.394
0.853 0.355 0.606
0.870 0.870 0.014
0.949 0.457 0.204
0.000 0.000 0.500
0.216 0.216 0.542
0.329 0.329 0.142
0.671 0.671 0.858
0.784 0.784 0.458
```

Properties
VASP energy in eV per atom: -4.585
Relative energy among the computed polymorphs in meV/atom: 0.0
Energy relative to the elements in kJ/mol of formula units: 187.5
SG: No. 12

***

Material: NpGaNiOs
Method: DFT, PBE-GGA
State: optimized geometry

Geometry as POSCAR:
```
NpGaNiOs
1.0
0.000 3.205 3.205
3.205 0.000 3.205
3.205 3.205 0.000
Np Ga Ni Os
1 1 1 1
Direct
0.000 0.000 0.000
0.500 0.500 0.500
0.750 0.750 0.750
0.250 0.250 0.250
```

Properties
VASP energy in eV per atom: -8.232
Energy relative to the elements in kJ/mol of formula units: 4.8
SG: No. 216

***

Material: Sr3Al2Ge4
Method: DFT, PBE-GGA
State: optimized geometry

Geometry as POSCAR:
```
Sr3Al2Ge4
1.0
6.317 -2.118 0.000
6.317 2.118 0.000
-3.038 0.000 8.399
Sr Al Ge
3 2 4
Direct
0.000 0.000 0.000
0.393 0.393 0.312
0.607 0.607 0.688
0.295 0.295 0.648
0.705 0.705 0.352
0.106 0.106 0.392
0.288 0.288 0.944
0.712 0.712 0.056
0.894 0.894 0.608
```

Properties
VASP energy in eV per atom: -3.953
Relative energy among the computed polymorphs in meV/atom: 0.0
Energy relative to the elements in kJ/mol of formula units: -441.8
SG: No. 12

***

Material: Ba4NaZn
Method: DFT, PBE-GGA
State: optimized geometry

Geometry as POSCAR:
```
Ba4NaZn
1.0
4.253 0.000 0.000
0.000 4.253 0.000
0.000 0.000 16.389
Ba Na Zn
4 1 1
Direct
0.000 0.000 0.117
0.000 0.000 0.883
0.500 0.500 0.330
0.500 0.500 0.670
0.000 0.000 0.500
0.500 0.500 0.000
```

Properties
VASP energy in eV per atom: -1.765
Relative energy among the computed polymorphs in meV/atom: 0.0
Energy relative to the elements in kJ/mol of formula units: -29.5
SG: No. 123

***

Material: W2SeBr
Method: DFT, PBE-GGA
State: optimized geometry

Geometry as POSCAR:
```
W2SeBr
1.0
0.000 3.300 3.300
3.300 0.000 3.300
3.300 3.300 0.000
W Se Br
2 1 1
Direct
0.000 0.000 0.000
0.250 0.250 0.250
0.500 0.500 0.500
0.750 0.750 0.750
```

Properties
Raw formation energy in eV per formula unit: 5.24
VASP energy in eV per atom: -6.457
Relative energy among the computed polymorphs in meV/atom: 1168.4
SG: No. 216

***

Q: VASP energy of number 5 (Li3Np2CoN6)?
A: -7.993 eV per atom

***

Q: The lowest VASP energy belongs to which entry?
A: SmEuIr